Density functional theory data (PBE-GGA) for a relaxed structure of LiVC3.

Computed properties:
DOS at the Fermi energy	2.8	states/eV/cell
crystal system	cubic
final energy	-31.718	eV/f.u.
E above lowest polymorph	0	meV/atom
DFT formation energy	1.40	eV per atom

Unit cell a=3.8987 b=3.8987 c=3.8987 alpha=90.00 beta=90.00 gamma=90.00
Element x y z (fractional)
C (0.5000, 0.0000, 0.0000)
C (0.0000, 0.5000, 0.0000)
C (0.0000, 0.0000, 0.5000)
V (0.0000, 0.0000, 0.0000)
Li (0.5000, 0.5000, 0.5000)


Density functional theory data (PBE-GGA) for a relaxed structure of Sr12Al14O33.

Computed properties:
crystal system	tetragonal
final energy	-414.125	eV/f.u.
E_form (uncorrected)	-3015.7	meV/atom

Unit cell a=10.7683 b=10.7683 c=10.7683 alpha=109.29 beta=109.29 gamma=109.84
Element x y z (fractional)
O (0.8175, 0.4789, 0.2575)
O (0.5401, 0.6840, 0.5672)
O (0.9385, 0.2898, 0.5484)
O (0.6098, 0.0615, 0.3513)
O (0.7414, 0.3902, 0.4516)
O (0.5005, 0.2403, 0.1310)
O (0.0286, 0.9625, 0.1523)
O (0.7597, 0.8907, 0.2602)
O (0.4400, 0.1825, 0.6613)
O (0.8102, 0.8763, 0.8477)
O (0.5211, 0.7787, 0.3387)
O (0.7102, 0.2586, 0.6487)
O (0.9983, 0.7496, 0.6133)
O (0.1237, 0.9714, 0.9339)
O (0.2395, 0.0716, 0.7590)
O (0.2504, 0.8637, 0.2487)
O (0.0375, 0.1898, 0.0661)
O (0.3160, 0.8832, 0.8561)
O (0.1093, 0.3695, 0.8690)
O (0.2213, 0.5600, 0.7425)
O (0.3127, 0.4806, 0.2410)
O (0.1168, 0.9729, 0.4328)
O (0.5194, 0.7605, 0.8321)
O (0.5000, 0.5000, 0.0000)
O (0.1363, 0.3850, 0.3867)
O (0.1977, 0.2662, 0.6300)
O (0.6150, 0.0017, 0.7513)
O (0.6305, 0.4995, 0.7398)
O (0.7338, 0.3638, 0.9315)
O (0.9284, 0.6873, 0.1679)
O (0.6362, 0.5677, 0.3700)
O (0.4323, 0.8023, 0.0685)
O (0.0271, 0.4599, 0.1439)
Sr (0.4811, 0.9811, 0.5000)
Sr (0.2393, 0.6202, 0.1034)
Sr (0.3797, 0.4831, 0.6190)
Sr (0.8757, 0.2253, 0.8628)
Sr (0.3625, 0.0129, 0.1372)
Sr (0.0189, 0.5189, 0.5000)
Sr (0.8641, 0.7607, 0.3810)
Sr (0.7747, 0.6375, 0.6504)
Sr (0.3157, 0.3157, 0.0000)
Sr (0.5169, 0.1359, 0.8966)
Sr (0.6843, 0.6843, 0.0000)
Sr (0.9871, 0.1243, 0.3496)
Al (0.0000, 0.0000, 0.0000)
Al (0.6227, 0.8428, 0.7531)
Al (0.3728, 0.7507, 0.8755)
Al (0.1572, 0.9103, 0.7799)
Al (0.1199, 0.3716, 0.7123)
Al (0.5027, 0.6272, 0.3778)
Al (0.6284, 0.3407, 0.7483)
Al (0.0897, 0.8696, 0.2469)
Al (0.5924, 0.8801, 0.2517)
Al (0.6593, 0.4076, 0.2877)
Al (0.1304, 0.3773, 0.2201)
Al (0.7500, 0.2500, 0.5000)
Al (0.8751, 0.4973, 0.1245)
Al (0.2493, 0.1249, 0.6222)